Entry 1:
# InGaSb

A geometry-optimized InGaSb structure (PBE, the Alexandria database).

- E_form (uncorrected) (eV per atom) = 0.03
- total DFT energy (no corrections) (eV for the cell shown) = -9.8
- mass density (Mg/m³) = 6.6
- symmetry = No. 1

Unit cell a=3.044 b=4.168 c=6.603 alpha=105.78 beta=99.12 gamma=101.76
Fractional positions:
In (0.000, 0.000, 0.000)
Ga (0.342, 0.349, 0.695)
Sb (0.190, 0.691, 0.382)

---

Entry 2:
# InGa2Sb

A geometry-optimized InGa2Sb structure (PBE, the Alexandria database).

- E_form (uncorrected) (eV per atom) = 0.06
- total DFT energy (no corrections) (eV for the cell shown) = -12.7
- mass density (Mg/m³) = 6.1
- symmetry = No. 160

Unit cell a=6.945 b=6.945 c=6.945 alpha=35.94 beta=35.94 gamma=35.94
Fractional positions:
In (0.000, 0.000, 0.000)
Ga (0.581, 0.581, 0.581)
Ga (0.756, 0.756, 0.756)
Sb (0.170, 0.170, 0.170)

---

Entry 3:
# InGa2Sb3

A geometry-optimized InGa2Sb3 structure (PBE, the Alexandria database).

- E_form (uncorrected) (eV per atom) = -0.14
- total DFT energy (no corrections) (eV for the cell shown) = -44.0
- mass density (Mg/m³) = 5.4
- symmetry = No. 9

Unit cell a=7.779 b=7.779 c=7.768 alpha=99.53 beta=99.53 gamma=120.06
Fractional positions:
In (0.086, 0.914, 0.500)
In (0.914, 0.086, 0.000)
Ga (0.253, 0.746, 0.000)
Ga (0.417, 0.583, 0.500)
Ga (0.583, 0.417, 0.000)
Ga (0.746, 0.253, 0.500)
Sb (0.127, 0.610, 0.630)
Sb (0.307, 0.472, 0.132)
Sb (0.472, 0.307, 0.632)
Sb (0.610, 0.127, 0.130)
Sb (0.774, 0.957, 0.613)
Sb (0.957, 0.774, 0.113)

---

Entry 4:
# InGa2Sb

A geometry-optimized InGa2Sb structure (PBE, the Alexandria database).

- E_form (uncorrected) (eV per atom) = 0.07
- total DFT energy (no corrections) (eV for the cell shown) = -12.7
- mass density (Mg/m³) = 6.6
- symmetry = No. 225

Unit cell a=5.109 b=5.109 c=5.109 alpha=60.00 beta=60.00 gamma=60.00
Fractional positions:
In (0.000, 0.000, 0.000)
Ga (0.250, 0.250, 0.250)
Ga (0.750, 0.750, 0.750)
Sb (0.500, 0.500, 0.500)

---

Entry 5:
# InGaSbSe

A geometry-optimized InGaSbSe structure (PBE, the Alexandria database).

- E_form (uncorrected) (eV per atom) = -0.16
- total DFT energy (no corrections) (eV for the cell shown) = -14.0
- mass density (Mg/m³) = 5.2
- symmetry = No. 8

Unit cell a=3.797 b=3.797 c=9.662 alpha=91.10 beta=91.10 gamma=62.34
Fractional positions:
In (0.000, 0.000, 0.000)
Ga (0.003, 0.003, 0.274)
Sb (0.337, 0.337, 0.804)
Se (0.670, 0.670, 0.396)

---

Entry 6:
# InGaSn2Sb

A geometry-optimized InGaSn2Sb structure (PBE, the Alexandria database).

- E_form (uncorrected) (eV per atom) = 0.32
- total DFT energy (no corrections) (eV for the cell shown) = -16.3
- mass density (Mg/m³) = 6.0
- symmetry = No. 123

Unit cell a=5.306 b=5.306 c=5.309 alpha=90.00 beta=90.00 gamma=90.00
Fractional positions:
In (0.000, 0.000, 0.000)
Ga (0.000, 0.000, 0.500)
Sn (0.000, 0.500, 0.500)
Sn (0.500, 0.000, 0.500)
Sb (0.500, 0.500, 0.000)

---

Entry 7:
# InGa2TcSb

A geometry-optimized InGa2TcSb structure (PBE, the Alexandria database).

- E_form (uncorrected) (eV per atom) = 1.35
- total DFT energy (no corrections) (eV for the cell shown) = -16.5
- mass density (Mg/m³) = 4.8
- symmetry = No. 123

Unit cell a=5.333 b=5.333 c=5.742 alpha=90.00 beta=90.00 gamma=90.00
Fractional positions:
In (0.000, 0.000, 0.000)
Ga (0.000, 0.500, 0.500)
Ga (0.500, 0.000, 0.500)
Tc (0.500, 0.500, 0.000)
Sb (0.000, 0.000, 0.500)

---

Entry 8:
# InGaSb2Te

A geometry-optimized InGaSb2Te structure (PBE, the Alexandria database).

- E_form (uncorrected) (eV per atom) = 0.38
- total DFT energy (no corrections) (eV for the cell shown) = -15.2
- mass density (Mg/m³) = 5.4
- symmetry = No. 123

Unit cell a=5.484 b=5.484 c=5.650 alpha=90.00 beta=90.00 gamma=90.00
Fractional positions:
In (0.000, 0.000, 0.000)
Ga (0.500, 0.500, 0.500)
Sb (0.000, 0.500, 0.500)
Sb (0.500, 0.000, 0.500)
Te (0.500, 0.500, 0.000)

---

Entry 9:
# InGaSb2Te

A geometry-optimized InGaSb2Te structure (PBE, the Alexandria database).

- E_form (uncorrected) (eV per atom) = 0.65
- total DFT energy (no corrections) (eV for the cell shown) = -13.9
- mass density (Mg/m³) = 4.5
- symmetry = No. 123

Unit cell a=5.823 b=5.823 c=6.068 alpha=90.00 beta=90.00 gamma=90.00
Fractional positions:
In (0.000, 0.000, 0.000)
Ga (0.500, 0.500, 0.500)
Sb (0.000, 0.500, 0.000)
Sb (0.500, 0.000, 0.000)
Te (0.000, 0.000, 0.500)

---

Entry 10:
# ZnInGaSb

A geometry-optimized ZnInGaSb structure (PBE, the Alexandria database).

- E_form (uncorrected) (eV per atom) = 0.10
- total DFT energy (no corrections) (eV for the cell shown) = -10.8
- mass density (Mg/m³) = 6.7
- symmetry = No. 216

Unit cell a=5.061 b=5.061 c=5.061 alpha=60.00 beta=60.00 gamma=60.00
Fractional positions:
Zn (0.000, 0.000, 0.000)
In (0.250, 0.250, 0.250)
Ga (0.500, 0.500, 0.500)
Sb (0.750, 0.750, 0.750)

---

Entry 11:
# ScInGa

A geometry-optimized ScInGa structure (PBE, the Alexandria database).

- ΔH_f (0 K) (eV per formula unit) = -0.462
- total DFT energy (no corrections) (eV for the cell shown) = -25.1
- mass density (Mg/m³) = 5.7
- symmetry = No. 44

Unit cell a=5.855 b=5.855 c=5.855 alpha=132.27 beta=107.52 gamma=91.50
Fractional positions:
Sc (0.248, 0.000, 0.248)
Sc (0.752, 0.000, 0.752)
In (0.155, 0.655, 0.500)
In (0.676, 0.676, 0.000)
Ga (0.121, 0.334, 0.787)
Ga (0.547, 0.334, 0.213)

---

Entry 12:
# ScInGa

A geometry-optimized ScInGa structure (PBE, the Alexandria database).

- ΔH_f (0 K) (eV per formula unit) = -1.167
- total DFT energy (no corrections) (eV for the cell shown) = -26.5
- mass density (Mg/m³) = 6.0
- symmetry = No. 63

Unit cell a=7.768 b=7.768 c=3.856 alpha=90.00 beta=90.00 gamma=146.98
Fractional positions:
Sc (0.084, 0.916, 0.750)
Sc (0.916, 0.084, 0.250)
In (0.269, 0.731, 0.250)
In (0.731, 0.269, 0.750)
Ga (0.438, 0.562, 0.750)
Ga (0.562, 0.438, 0.250)

---

Entry 13:
# Sc9In2Ga

A geometry-optimized Sc9In2Ga structure (PBE, the Alexandria database).

- ΔH_f (0 K) (eV per formula unit) = -3.568
- total DFT energy (no corrections) (eV for the cell shown) = -69.1
- mass density (Mg/m³) = 4.3
- symmetry = No. 123

Unit cell a=4.482 b=4.482 c=13.420 alpha=90.00 beta=90.00 gamma=90.00
Fractional positions:
Sc (0.000, 0.000, 0.000)
Sc (0.000, 0.000, 0.330)
Sc (0.000, 0.000, 0.670)
Sc (0.000, 0.500, 0.159)
Sc (0.000, 0.500, 0.500)
Sc (0.000, 0.500, 0.841)
Sc (0.500, 0.000, 0.159)
Sc (0.500, 0.000, 0.500)
Sc (0.500, 0.000, 0.841)
In (0.500, 0.500, 0.330)
In (0.500, 0.500, 0.670)
Ga (0.500, 0.500, 0.000)

---

Entry 14:
# Sc5InGa

A geometry-optimized Sc5InGa structure (PBE, the Alexandria database).

- ΔH_f (0 K) (eV per formula unit) = -0.738
- total DFT energy (no corrections) (eV for the cell shown) = -76.3
- mass density (Mg/m³) = 4.1
- symmetry = No. 15

Unit cell a=6.029 b=6.029 c=11.845 alpha=112.48 beta=112.48 gamma=59.34
Fractional positions:
Sc (0.093, 0.357, 0.713)
Sc (0.110, 0.890, 0.750)
Sc (0.157, 0.680, 0.990)
Sc (0.320, 0.843, 0.510)
Sc (0.357, 0.093, 0.213)
Sc (0.643, 0.907, 0.787)
Sc (0.680, 0.157, 0.490)
Sc (0.843, 0.320, 0.010)
Sc (0.890, 0.110, 0.250)
Sc (0.907, 0.643, 0.287)
In (0.401, 0.599, 0.250)
In (0.599, 0.401, 0.750)
Ga (0.000, 0.500, 0.500)
Ga (0.500, 0.000, 0.000)